A relaxed ScNiRh2 crystal, computed with PBE.

Computed properties:
The calculation puts the density of states at the Fermi level at 4.5 states/eV/f.u. As for the energy of formation from the pure elements: -1.56 eV per formula unit. For the magnetization, the calculation gives 0.35 μB/f.u. As for the volume: 14.744 Å³/atom.

a b c (Å): 8.810 2.891 4.739
angles (deg): 90.00 102.29 90.00
Space group C2/m (No. 12)
Inequivalent atoms, fractional coordinates:
Sc (0.000, 0.000, 0.000) [2 per cell]
Ni (0.000, 0.500, 0.500) [2 per cell]
Rh (0.245, 0.000, 0.734) [4 per cell]